No. 1
Th5Ge6 | PBE | optimized geometry

```
Th5Ge6
1.0
2.1476 -14.9528 0.0000
2.1476 14.9528 0.0000
0.0000 0.0000 4.2970
Th Ge
5 6
Cartesian
0.0000 0.0000 0.0000 Th
2.1476 8.9887 2.1485 Th
2.1476 3.4253 0.0000 Th
2.1476 -3.4253 0.0000 Th
2.1476 -8.9887 2.1485 Th
2.1476 12.0276 2.1485 Ge
2.1476 6.4841 0.0000 Ge
2.1476 1.2382 2.1485 Ge
2.1476 -1.2382 2.1485 Ge
2.1476 -6.4841 0.0000 Ge
2.1476 -12.0276 2.1485 Ge
```

Calculated values
**E_form**: -0.665 eV/atom
**Uncorrected energy**: -6.556 eV per atom
**Total magnetic moment**: 0.000 μB/f.u.
**Symmetry**: Cmmm

No. 2
Th3Ge2 | PBE | optimized geometry

```
Th3Ge2
1.0
8.0026 0.0000 0.0000
0.0000 8.0026 0.0000
0.0000 0.0000 4.1519
Th Ge
6 4
Cartesian
0.0000 0.0000 0.0000 Th
1.4214 2.5799 2.0759 Th
2.5799 6.5812 2.0759 Th
4.0013 4.0013 0.0000 Th
5.4226 1.4214 2.0759 Th
6.5812 5.4226 2.0759 Th
0.9653 4.9666 0.0000 Ge
3.0360 0.9653 0.0000 Ge
4.9666 7.0372 0.0000 Ge
7.0372 3.0360 0.0000 Ge
```

Calculated values
**E_form**: -0.694 eV/atom
**Uncorrected energy**: -6.993 eV per atom
**Total magnetic moment**: 0.000 μB/f.u.
**Symmetry**: P4/mbm

No. 3
Th2TiGe2 | PBE | optimized geometry

```
Th2TiGe2
1.0
5.8856 -2.1056 0.0000
5.8856 2.1056 0.0000
-5.3248 0.0000 9.5011
Th Ti Ge
4 2 4
Cartesian
-0.8094 0.0000 1.7399 Th
-0.9694 0.0000 5.7897 Th
7.4157 0.0000 3.7114 Th
7.2557 0.0000 7.7612 Th
2.6356 0.0000 1.1737 Ti
3.8107 0.0000 8.3274 Ti
-0.6668 0.0000 8.9174 Ge
2.4732 0.0000 5.9071 Ge
3.9731 0.0000 3.5940 Ge
7.1130 0.0000 0.5837 Ge
```

Calculated values
**E_form**: -0.641 eV/atom
**Uncorrected energy**: -7.035 eV per atom
**Total magnetic moment**: 0.000 μB/f.u.
**Symmetry**: C2/m

No. 4
Th3Ti2Ge4 | PBE | optimized geometry

```
Th3Ti2Ge4
1.0
6.4633 -2.1415 0.0000
6.4633 2.1415 0.0000
-4.2949 0.0000 7.7147
Th Ti Ge
3 2 4
Cartesian
0.0000 0.0000 0.0000 Th
3.5335 0.0000 2.0939 Th
5.0982 0.0000 5.6208 Th
1.4118 0.0000 4.7617 Ti
7.2199 0.0000 2.9529 Ti
-0.8248 0.0000 3.1825 Ge
0.2348 0.0000 6.9960 Ge
8.3968 0.0000 0.7187 Ge
9.4565 0.0000 4.5321 Ge
```

Calculated values
**E_form**: -0.626 eV/atom
**Uncorrected energy**: -6.906 eV per atom
**Total magnetic moment**: 1.323 μB/f.u.
**Symmetry**: C2/m

No. 5
ThTi2Ge2 | PBE | optimized geometry

```
ThTi2Ge2
1.0
-2.0508 2.0508 5.9574
2.0508 -2.0508 5.9574
2.0508 2.0508 -5.9574
Th Ti Ge
1 2 2
Cartesian
0.0000 0.0000 0.0000 Th
2.0508 0.0000 2.9787 Ti
0.0000 2.0508 2.9787 Ti
0.0000 0.0000 4.6522 Ge
0.0000 0.0000 7.2627 Ge
```

Calculated values
**E_form**: -0.687 eV/atom
**Uncorrected energy**: -7.176 eV per atom
**Total magnetic moment**: 0.000 μB/f.u.
**Symmetry**: I4/mmm

No. 6
Th3TiGe5 | PBE | optimized geometry

```
Th3TiGe5
1.0
8.8955 0.0000 0.0000
-4.4478 7.7037 0.0000
0.0000 0.0000 5.8928
Th Ti Ge
6 2 10
Cartesian
-1.6987 2.9422 1.4732 Th
-2.7490 4.7615 4.4196 Th
3.3974 0.0000 1.4732 Th
1.6987 2.9422 4.4196 Th
5.4981 0.0000 4.4196 Th
2.7490 4.7615 1.4732 Th
0.0000 0.0000 0.0000 Ti
0.0000 0.0000 2.9464 Ti
-1.1230 1.9450 4.4196 Ge
-3.3248 5.7587 1.4732 Ge
2.2459 0.0000 4.4196 Ge
1.1230 1.9450 1.4732 Ge
0.0000 5.1358 0.0000 Ge
0.0000 5.1358 2.9464 Ge
4.4478 2.5679 0.0000 Ge
4.4478 2.5679 2.9464 Ge
6.6496 0.0000 1.4732 Ge
3.3248 5.7587 4.4196 Ge
```

Calculated values
**E_form**: -0.723 eV/atom
**Uncorrected energy**: -6.639 eV per atom
**Total magnetic moment**: 0.000 μB/f.u.
**Symmetry**: P6_3/mcm

No. 7
Th4TiGe8 | PBE | optimized geometry

```
Th4TiGe8
1.0
4.1081 0.0000 0.0000
0.0000 4.2067 0.0000
0.0000 0.0000 17.2785
Th Ti Ge
4 1 8
Cartesian
0.0000 0.0000 0.0000 Th
0.0000 2.1034 8.3315 Th
2.0541 0.0000 3.5728 Th
2.0541 2.1034 11.9052 Th
2.0541 2.1034 15.6850 Ti
0.0000 0.0000 5.9526 Ge
0.0000 0.0000 10.9435 Ge
0.0000 2.1034 2.6277 Ge
0.0000 2.1034 14.1680 Ge
2.0541 0.0000 9.2706 Ge
2.0541 0.0000 14.1917 Ge
2.0541 2.1034 0.9919 Ge
2.0541 2.1034 5.9550 Ge
```

Calculated values
**E_form**: -0.562 eV/atom
**Uncorrected energy**: -6.294 eV per atom
**Total magnetic moment**: 0.000 μB/f.u.
**Symmetry**: Pmm2

No. 8
ThTi3Ge2 | PBE | optimized geometry

```
ThTi3Ge2
1.0
8.0361 -2.0056 0.0000
8.0361 2.0056 0.0000
-3.5958 0.0000 7.3920
Th Ti Ge
2 6 4
Cartesian
2.1248 0.0000 0.4266 Th
10.3515 0.0000 6.9654 Th
-0.5756 0.0000 2.9406 Ti
3.1129 0.0000 3.9890 Ti
5.4851 0.0000 2.4498 Ti
6.9912 0.0000 4.9421 Ti
9.3634 0.0000 3.4029 Ti
13.0518 0.0000 4.4514 Ti
0.7028 0.0000 5.2987 Ge
4.6804 0.0000 6.1714 Ge
7.7959 0.0000 1.2206 Ge
11.7735 0.0000 2.0932 Ge
```

Calculated values
**E_form**: -0.533 eV/atom
**Uncorrected energy**: -7.256 eV per atom
**Total magnetic moment**: 0.001 μB/f.u.
**Symmetry**: C2/m

No. 9
Th2TlGe | PBE | optimized geometry

```
Th2TlGe
1.0
2.0938 1.2088 8.0808
-2.0938 1.2088 8.0808
0.0000 -2.4177 8.0808
Th Tl Ge
2 1 1
Cartesian
0.0000 0.0000 5.7812 Th
0.0000 0.0000 18.4610 Th
0.0000 0.0000 0.0000 Tl
0.0000 0.0000 12.1211 Ge
```

Calculated values
**E_form**: -0.383 eV/atom
**Distance to the lowest polymorph of the same formula**: 0.000 eV/atom
**Uncorrected energy**: -5.838 eV per atom
**Total magnetic moment**: 0.000 μB/f.u.
**Symmetry**: R-3m

No. 10
Th2TlGe | PBE | optimized geometry

```
Th2TlGe
1.0
3.9443 0.0000 0.0000
0.0000 3.9443 0.0000
0.0000 0.0000 7.0109
Th Tl Ge
2 1 1
Cartesian
0.0000 0.0000 1.6227 Th
0.0000 0.0000 5.3881 Th
1.9721 1.9721 3.5054 Tl
1.9721 1.9721 0.0000 Ge
```

Calculated values
**E_form**: -0.339 eV/atom
**Distance to the lowest polymorph of the same formula**: 0.043 eV/atom
**Uncorrected energy**: -5.795 eV per atom
**Total magnetic moment**: 0.000 μB/f.u.
**Symmetry**: P4/mmm

No. 11
Th5TlGe2 | PBE | optimized geometry

```
Th5TlGe2
1.0
-3.9905 3.9905 7.1612
3.9905 -3.9905 7.1612
3.9905 3.9905 -7.1612
Th Tl Ge
10 2 4
Cartesian
0.0000 0.0000 0.0000 Th
5.2352 1.2447 -2.0670 Th
1.2447 2.7459 -2.0670 Th
5.2352 1.2447 2.0670 Th
1.2447 2.7459 2.0670 Th
0.0000 0.0000 7.1612 Th
2.7459 1.2447 5.0942 Th
-1.2447 2.7459 5.0942 Th
2.7459 1.2447 9.2282 Th
-1.2447 2.7459 9.2282 Th
0.0000 0.0000 3.5806 Tl
0.0000 0.0000 10.7418 Tl
2.8832 1.1074 0.0000 Ge
2.8832 -1.1074 7.1612 Ge
1.1074 5.0979 0.0000 Ge
1.1074 2.8832 7.1612 Ge
```

Calculated values
**E_form**: -0.423 eV/atom
**Uncorrected energy**: -6.511 eV per atom
**Total magnetic moment**: 0.003 μB/f.u.
**Symmetry**: I4/mcm

No. 12
ThTl2Ge | PBE | optimized geometry

```
ThTl2Ge
1.0
4.5193 0.0000 0.0000
0.0000 4.5193 0.0000
0.0000 0.0000 5.0977
Th Tl Ge
1 2 1
Cartesian
0.0000 0.0000 0.0000 Th
0.0000 2.2596 2.5489 Tl
2.2596 0.0000 2.5489 Tl
2.2596 2.2596 0.0000 Ge
```

Calculated values
**E_form**: -0.229 eV/atom
**Uncorrected energy**: -4.422 eV per atom
**Total magnetic moment**: 0.000 μB/f.u.
**Symmetry**: P4/mmm